A relaxed structure of Ba6Ti7Nb9O42. Source: Alexandria, functional GGA-PBE.

Total DFT energy (no corrections) (eV/cell): -549.3
Raw formation energy (eV/atom): -2.87
Symmetry: No. 8
Density of states at the Fermi level (states/eV/cell): 5.09

POSCAR file:
```
Ba6Ti7Nb9O42
1.0
4.6080 -7.9616 0.0000
4.6080 7.9616 0.0000
-0.0135 0.0000 11.9216
Ba Ti Nb O
6 7 9 42
Cartesian
0.0000 0.0000 0.0000
6.4235 4.7990 5.9038
5.5597 3.2237 11.9196
5.5597 -3.2237 11.9196
7.4988 0.0000 5.8949
6.4235 -4.7990 5.9038
1.4002 0.0000 4.0062
2.5739 1.9091 1.8643
1.5241 0.0000 7.6987
2.5739 -1.9091 1.8643
4.8189 1.9084 7.7772
5.9193 0.0000 1.8275
4.8189 -1.9084 7.7772
3.7164 5.3397 2.8427
3.7060 5.3001 8.7608
2.5521 1.9557 10.0287
2.5521 -1.9557 10.0287
4.8339 1.9691 4.0509
4.8339 -1.9691 4.0509
6.0047 0.0000 10.0119
3.7060 -5.3001 8.7608
3.7164 -5.3397 2.8427
3.0307 3.8517 10.0808
4.6588 6.6268 4.0929
3.0559 3.7989 1.7651
4.6796 6.6175 7.6879
1.7571 0.0000 5.8868
1.8118 0.0000 9.7857
2.7629 1.6275 3.8094
2.7640 1.6201 11.8941
1.8475 0.0000 2.0576
2.7889 1.5700 7.9855
5.2995 5.4437 10.0910
4.3948 3.8579 4.1502
5.3378 5.4818 1.7021
4.3639 3.8000 7.6772
2.7629 -1.6275 3.8094
2.7889 -1.5700 7.9855
2.7640 -1.6201 11.8941
4.6341 1.5997 5.9269
4.6527 1.6416 9.7659
4.6381 1.5800 2.0369
3.0559 -3.7989 1.7651
6.6803 2.4768 7.6842
3.0307 -3.8517 10.0808
6.7227 2.5060 4.1350
4.6381 -1.5800 2.0369
4.6341 -1.5997 5.9269
5.5654 0.0000 7.9923
5.5728 0.0000 11.8812
4.6527 -1.6416 9.7659
5.6316 0.0000 3.8180
4.3639 -3.8000 7.6772
7.3439 1.3366 1.7218
7.3935 1.3515 10.0934
4.3948 -3.8579 4.1502
6.6803 -2.4768 7.6842
7.3439 -1.3366 1.7218
6.7227 -2.5060 4.1350
7.3935 -1.3515 10.0934
5.2995 -5.4437 10.0910
4.6588 -6.6268 4.0929
4.6796 -6.6175 7.6879
5.3378 -5.4818 1.7021
```